[1]
{"formula": "Ba5Si2Cl2", "functional": "PBE-GGA", "state": "relaxed", "cell": [[9.262, -4.237, 0.000], [9.262, 4.237, 0.000], [0.000, 0.000, 8.482]], "species": ["Ba", "Ba", "Ba", "Ba", "Ba", "Ba", "Ba", "Ba", "Ba", "Ba", "Si", "Si", "Si", "Si", "Cl", "Cl", "Cl", "Cl"], "fractional_positions": [[0.000, 0.000, 0.000], [0.052, 0.694, 0.674], [0.194, 0.552, 0.174], [0.306, 0.948, 0.674], [0.448, 0.806, 0.174], [0.500, 0.500, 0.500], [0.552, 0.194, 0.826], [0.694, 0.052, 0.326], [0.806, 0.448, 0.826], [0.948, 0.306, 0.326], [0.104, 0.896, 0.396], [0.396, 0.604, 0.896], [0.604, 0.396, 0.104], [0.896, 0.104, 0.604], [0.239, 0.239, 0.000], [0.261, 0.261, 0.500], [0.739, 0.739, 0.500], [0.761, 0.761, 0.000]], "e_form_raw_ev_per_atom": -0.922, "vol_a3_per_cell": 665.7}

=====

[2]
{"formula": "BaSiCl6", "functional": "PBE-GGA", "state": "relaxed", "cell": [[7.694, 0.000, 0.000], [0.000, 9.707, 0.000], [-2.205, 0.000, 5.757]], "species": ["Ba", "Ba", "Si", "Si", "Cl", "Cl", "Cl", "Cl", "Cl", "Cl", "Cl", "Cl", "Cl", "Cl", "Cl", "Cl"], "fractional_positions": [[0.000, 0.000, 0.000], [0.500, 0.500, 0.000], [0.000, 0.500, 0.500], [0.500, 0.000, 0.500], [0.111, 0.338, 0.773], [0.111, 0.662, 0.773], [0.227, 0.000, 0.554], [0.273, 0.500, 0.446], [0.389, 0.162, 0.227], [0.389, 0.838, 0.227], [0.611, 0.162, 0.773], [0.611, 0.838, 0.773], [0.727, 0.500, 0.554], [0.773, 0.000, 0.446], [0.889, 0.338, 0.227], [0.889, 0.662, 0.227]], "e_form_raw_ev_per_atom": -1.533, "vol_a3_per_cell": 429.9}

=====

[3]
{"formula": "BaSiCl2", "functional": "PBE-GGA", "state": "relaxed", "cell": [[4.961, 0.000, 0.000], [0.000, 4.961, 0.000], [0.000, 0.000, 4.267]], "species": ["Ba", "Si", "Cl", "Cl"], "fractional_positions": [[0.000, 0.000, 0.000], [0.500, 0.500, 0.000], [0.000, 0.500, 0.500], [0.500, 0.000, 0.500]], "polymorph_energy_mev_per_atom": 189.1, "e_form_raw_ev_per_atom": -0.855, "vol_a3_per_cell": 105.0}

=====

[4]
{"formula": "BaSi4Cl", "functional": "PBE-GGA", "state": "relaxed", "cell": [[0.000, 3.941, 3.941], [3.941, 0.000, 3.941], [3.941, 3.941, 0.000]], "species": ["Ba", "Si", "Si", "Si", "Si", "Cl"], "fractional_positions": [[0.000, 0.000, 0.000], [0.380, 0.380, 0.380], [0.380, 0.380, 0.861], [0.380, 0.861, 0.380], [0.861, 0.380, 0.380], [0.750, 0.750, 0.750]], "e_form_raw_ev_per_atom": 0.010, "vol_a3_per_cell": 122.4}

=====

[5]
{"formula": "BaSiCl2", "functional": "PBE-GGA", "state": "relaxed", "cell": [[3.815, 0.000, 0.000], [0.000, 4.529, 0.000], [-0.103, 0.000, 6.426]], "species": ["Ba", "Si", "Cl", "Cl"], "fractional_positions": [[0.000, 0.000, 0.000], [0.500, 0.000, 0.500], [0.492, 0.500, 0.755], [0.508, 0.500, 0.245]], "polymorph_energy_mev_per_atom": 162.5, "e_form_raw_ev_per_atom": -0.882, "vol_a3_per_cell": 111.0}

=====

[6]
{"formula": "BaSiCl2", "functional": "PBE-GGA", "state": "relaxed", "cell": [[4.930, 0.000, 0.000], [0.000, 4.930, 0.000], [0.000, 0.000, 5.967]], "species": ["Ba", "Si", "Cl", "Cl"], "fractional_positions": [[0.000, 0.000, 0.000], [0.500, 0.500, 0.854], [0.000, 0.000, 0.502], [0.500, 0.500, 0.227]], "polymorph_energy_mev_per_atom": 184.9, "e_form_raw_ev_per_atom": -0.859, "vol_a3_per_cell": 145.0}

=====

[7]
{"formula": "BaSi3Cl", "functional": "PBE-GGA", "state": "relaxed", "cell": [[5.037, 0.000, 0.000], [0.000, 5.037, 0.000], [0.000, 0.000, 5.037]], "species": ["Ba", "Si", "Si", "Si", "Cl"], "fractional_positions": [[0.000, 0.000, 0.000], [0.000, 0.500, 0.500], [0.500, 0.000, 0.500], [0.500, 0.500, 0.000], [0.500, 0.500, 0.500]], "polymorph_energy_mev_per_atom": 0.0, "e_form_raw_ev_per_atom": 0.567, "vol_a3_per_cell": 127.8}

=====

[8]
{"formula": "BaSi2Cl8", "functional": "PBE-GGA", "state": "relaxed", "cell": [[6.386, -3.373, 0.000], [6.386, 3.373, 0.000], [-2.047, 0.000, 7.710]], "species": ["Ba", "Si", "Si", "Cl", "Cl", "Cl", "Cl", "Cl", "Cl", "Cl", "Cl"], "fractional_positions": [[0.000, 0.000, 0.000], [0.226, 0.226, 0.680], [0.774, 0.774, 0.320], [0.090, 0.610, 0.221], [0.135, 0.135, 0.395], [0.390, 0.910, 0.779], [0.403, 0.403, 0.859], [0.597, 0.597, 0.141], [0.610, 0.090, 0.221], [0.865, 0.865, 0.605], [0.910, 0.390, 0.779]], "e_form_raw_ev_per_atom": -1.180, "vol_a3_per_cell": 332.1}

=====

[9]
{"formula": "BaSiCl2", "functional": "PBE-GGA", "state": "relaxed", "cell": [[4.871, 0.000, 0.000], [0.000, 5.774, 0.000], [-2.018, 0.000, 5.049]], "species": ["Ba", "Si", "Cl", "Cl"], "fractional_positions": [[0.000, 0.000, 0.000], [0.604, 0.500, 0.135], [0.312, 0.000, 0.608], [0.745, 0.500, 0.783]], "polymorph_energy_mev_per_atom": 84.6, "e_form_raw_ev_per_atom": -0.960, "vol_a3_per_cell": 142.0}

=====

[10]
{"formula": "BaSiCl2", "functional": "PBE-GGA", "state": "relaxed", "cell": [[4.018, 0.000, 0.000], [0.000, 4.564, 0.000], [0.000, 0.000, 6.100]], "species": ["Ba", "Si", "Cl", "Cl"], "fractional_positions": [[0.000, 0.000, 0.000], [0.500, 0.000, 0.500], [0.000, 0.500, 0.500], [0.500, 0.500, 0.000]], "polymorph_energy_mev_per_atom": 142.3, "e_form_raw_ev_per_atom": -0.902, "vol_a3_per_cell": 111.8}

=====

[11]
{"formula": "BaSiCl2", "functional": "PBE-GGA", "state": "relaxed", "cell": [[4.186, 0.000, 0.000], [0.000, 5.690, 0.000], [0.000, 0.000, 9.009]], "species": ["Ba", "Ba", "Si", "Si", "Cl", "Cl", "Cl", "Cl"], "fractional_positions": [[0.000, 0.000, 0.000], [0.500, 0.500, 0.500], [0.000, 0.000, 0.500], [0.500, 0.500, 0.000], [0.000, 0.500, 0.193], [0.000, 0.500, 0.807], [0.500, 0.000, 0.307], [0.500, 0.000, 0.693]], "polymorph_energy_mev_per_atom": 0.0, "e_form_raw_ev_per_atom": -1.044, "vol_a3_per_cell": 214.6}

=====

[12]
{"formula": "Ba4SiCl4", "functional": "PBE-GGA", "state": "relaxed", "cell": [[7.938, -2.374, 0.000], [7.938, 2.374, 0.000], [-6.181, 0.000, 9.901]], "species": ["Ba", "Ba", "Ba", "Ba", "Si", "Cl", "Cl", "Cl", "Cl"], "fractional_positions": [[0.079, 0.079, 0.390], [0.294, 0.294, 0.217], [0.706, 0.706, 0.783], [0.921, 0.921, 0.610], [0.500, 0.500, 0.500], [0.133, 0.133, 0.890], [0.295, 0.295, 0.687], [0.705, 0.705, 0.313], [0.867, 0.867, 0.110]], "e_form_raw_ev_per_atom": -1.792, "vol_a3_per_cell": 373.1}

=====

What did the eleventh record say?
{"formula": "BaSiCl2", "functional": "PBE-GGA", "state": "relaxed", "cell": [[4.186, 0.000, 0.000], [0.000, 5.690, 0.000], [0.000, 0.000, 9.009]], "species": ["Ba", "Ba", "Si", "Si", "Cl", "Cl", "Cl", "Cl"], "fractional_positions": [[0.000, 0.000, 0.000], [0.500, 0.500, 0.500], [0.000, 0.000, 0.500], [0.500, 0.500, 0.000], [0.000, 0.500, 0.193], [0.000, 0.500, 0.807], [0.500, 0.000, 0.307], [0.500, 0.000, 0.693]], "polymorph_energy_mev_per_atom": 0.0, "e_form_raw_ev_per_atom": -1.044, "vol_a3_per_cell": 214.6}